Compound: YHg3B
Source: Alexandria
Functional: GGA-PBE
Structure: optimized geometry

Geometry as POSCAR:
```
YHg3B
1.0
-3.857 3.176 3.189
-2.378 -5.004 2.108
3.822 0.092 4.530
Y B Hg
1 1 3
Cartesian
0.000 0.000 0.000 Y
-1.206 -0.868 4.914 B
-1.189 -2.502 1.054 Hg
1.911 0.046 2.265 Hg
-1.928 1.588 1.595 Hg
```

Computed properties:
The energy relative to the lowest polymorph listed for this composition comes out at 490 kJ/mol of formula units. Its density of states at the Fermi level is 6.34 states/eV/f.u. Its formation energy is 1.3658 eV per atom.

Compound: YHg3B
Source: Alexandria
Functional: GGA-PBE
Structure: optimized geometry

Geometry as POSCAR:
```
YHg3B
1.0
4.743 0.000 0.000
0.000 4.743 0.000
0.000 0.000 4.743
Y B Hg
1 1 3
Cartesian
2.372 2.372 2.372 Y
0.000 0.000 0.000 B
0.000 2.372 0.000 Hg
0.000 0.000 2.372 Hg
2.372 0.000 0.000 Hg
```

Computed properties:
The energy relative to the lowest polymorph listed for this composition comes out at 0 kJ/mol of formula units. Its density of states at the Fermi level is 3.24 states/eV/f.u. Its formation energy is 0.3506 eV per atom.

Number 2 is which compound? YHg3B

Which of these has the lowest density of states at the Fermi level? number 2

Which of these has the highest density of states at the Fermi level? number 1

The highest density of states at the Fermi level belongs to which entry? number 1